The following is a DFT calculation (GGA-PBE) of an optimized crystal structure of LaPrReN4.

Lattice parameters (Å, degrees): 6.9471 6.9471 6.9471 147.12 147.12 47.19
With the nearest neighbours (Å) after each atom.
Fractional coordinates of all 7 atoms:
La: 0.0000 0.0000 0.0000  1 N 2.40
Pr: 0.7082 0.7082 0.0000  5 N 2.42-2.70
Re: 0.3543 0.3543 0.0000  6 N 1.97-2.11
N: 0.1888 0.1888 0.0000  1 Re 2.11
N: 0.3533 0.8533 0.5000  2 Re 1.97
N: 0.5182 0.5182 0.0000  1 Re 2.09
N: 0.8533 0.3533 0.5000  2 Re 1.97

Calculated values
**N(E_F)**: 2.07 states/eV per cell
**Volume**: 14.06 Å³/atom
**Theoretical density**: 8.8 Mg/m³
**Raw formation energy**: -910 meV/atom

=====

The following is a DFT calculation (GGA-PBE) of an optimized crystal structure of LaPr2RuN4.

Lattice parameters (Å, degrees): 6.3449 6.3449 12.2313 90.00 90.00 147.53
With the nearest neighbours (Å) after each atom.
Fractional coordinates of all 16 atoms:
La: 0.1186 0.8814 0.7500  4 N 2.61
La: 0.8814 0.1186 0.2500  4 N 2.61
Pr: 0.3682 0.6318 0.5428  6 N 2.45-2.72
Pr: 0.3682 0.6318 0.9572  6 N 2.45-2.72
Pr: 0.6318 0.3682 0.0428  6 N 2.45-2.72
Pr: 0.6318 0.3682 0.4572  6 N 2.45-2.72
Ru: 0.1518 0.8482 0.2500  4 N 2.01-2.03
Ru: 0.8482 0.1518 0.7500  4 N 2.01-2.03
N: 0.0000 0.0000 0.0000  4 Pr 2.45
N: 0.0000 0.0000 0.5000  4 Pr 2.45
N: 0.2731 0.7269 0.1360  1 Ru 2.03
N: 0.2731 0.7269 0.3640  1 Ru 2.03
N: 0.4250 0.5750 0.7500  2 Ru 2.01
N: 0.5750 0.4250 0.2500  2 Ru 2.01
N: 0.7269 0.2731 0.6360  1 Ru 2.03
N: 0.7269 0.2731 0.8640  1 Ru 2.03

Calculated values
**N(E_F)**: 5.05 states/eV per cell
**Volume**: 16.52 Å³/atom
**Theoretical density**: 7.3 Mg/m³
**Raw formation energy**: -830 meV/atom

=====

The following is a DFT calculation (GGA-PBE) of an optimized crystal structure of La2Pr4Sb3N2.

Lattice parameters (Å, degrees): 13.6468 13.6468 13.6468 159.35 159.35 29.37
With the nearest neighbours (Å) after each atom.
Fractional coordinates of all 11 atoms:
La: 0.1916 0.1916 0.0000  1 N 2.27
La: 0.8084 0.8084 0.0000  1 N 2.27
Pr: 0.0816 0.5816 0.5000  2 N 2.53
Pr: 0.4184 0.9184 0.5000  2 N 2.53
Pr: 0.5816 0.0816 0.5000  2 N 2.53
Pr: 0.9184 0.4184 0.5000  2 N 2.53
Sb: 0.3236 0.3236 0.0000  5 La 3.48, 4 Pr 3.50
Sb: 0.5000 0.5000 0.0000  8 Pr 3.26
Sb: 0.6764 0.6764 0.0000  5 La 3.48, 4 Pr 3.50
N: 0.1056 0.1056 0.0000  1 La 2.27, 4 Pr 2.53
N: 0.8944 0.8944 0.0000  1 La 2.27, 4 Pr 2.53

Calculated values
**N(E_F)**: 4.49 states/eV per cell
**Volume**: 28.73 Å³/atom
**Theoretical density**: 6.5 Mg/m³
**Raw formation energy**: -1176 meV/atom

=====

The following is a DFT calculation (GGA-PBE) of an optimized crystal structure of LaPrSeN.

Lattice parameters (Å, degrees): 7.2519 7.2519 7.2519 31.13 31.13 31.13
With the nearest neighbours (Å) after each atom.
Fractional coordinates of all 4 atoms:
La: 0.0000 0.0000 0.0000  3 N 2.65
Pr: 0.5313 0.5313 0.5313  3 N 2.65
Se: 0.7668 0.7668 0.7668  3 Pr 3.03, 3 La 3.06
N: 0.2657 0.2657 0.2657  3 La 2.65, 3 Pr 2.65

Calculated values
**N(E_F)**: 1.24 states/eV per cell
**Volume**: 22.62 Å³/atom
**Theoretical density**: 6.8 Mg/m³
**Raw formation energy**: -1619 meV/atom

=====

The following is a DFT calculation (GGA-PBE) of an optimized crystal structure of La2PrSiN4.

Lattice parameters (Å, degrees): 6.1699 6.1699 12.4059 90.00 90.00 146.70
With the nearest neighbours (Å) after each atom.
Fractional coordinates of all 16 atoms:
La: 0.1339 0.8661 0.5440  6 N 2.43-2.72
La: 0.1339 0.8661 0.9560  6 N 2.43-2.72
La: 0.8661 0.1339 0.0440  6 N 2.43-2.72
La: 0.8661 0.1339 0.4560  6 N 2.43-2.72
Pr: 0.4064 0.5936 0.7500  6 N 2.71-2.89
Pr: 0.5936 0.4064 0.2500  6 N 2.71-2.89
Si: 0.3168 0.6832 0.2500  2 N 1.75
Si: 0.6832 0.3168 0.7500  2 N 1.75
N: 0.0995 0.9005 0.7500  2 Si 2.03
N: 0.2238 0.7762 0.1404  1 Si 1.75
N: 0.2238 0.7762 0.3596  1 Si 1.75
N: 0.5000 0.5000 0.0000  4 La 2.43
N: 0.5000 0.5000 0.5000  4 La 2.43
N: 0.7762 0.2238 0.6404  1 Si 1.75
N: 0.7762 0.2238 0.8596  1 Si 1.75
N: 0.9005 0.0995 0.2500  2 Si 2.03

Calculated values
**N(E_F)**: 3.19 states/eV per cell
**Volume**: 16.20 Å³/atom
**Theoretical density**: 6.4 Mg/m³
**Raw formation energy**: -1097 meV/atom

=====

The following is a DFT calculation (GGA-PBE) of an optimized crystal structure of La2PrSmN4.

Lattice parameters (Å, degrees): 6.3986 3.6946 6.4099 90.00 109.43 90.00
With the nearest neighbours (Å) after each atom.
Fractional coordinates of all 8 atoms:
La: 0.0000 0.0000 0.0000  6 N 2.64
La: 0.5000 0.5000 0.0000  6 N 2.62
Pr: 0.0000 0.5000 0.5000  6 N 2.61
Sm: 0.5000 0.0000 0.5000  6 N 2.58-2.59
N: 0.2516 0.0000 0.7459  1 Sm 2.58, 2 Pr 2.61, 3 La 2.62-2.64
N: 0.2546 0.5000 0.2557  2 Sm 2.59, 1 Pr 2.61, 3 La 2.62-2.64
N: 0.7454 0.5000 0.7443  2 Sm 2.59, 1 Pr 2.61, 3 La 2.62-2.64
N: 0.7484 0.0000 0.2541  1 Sm 2.58, 2 Pr 2.61, 3 La 2.62-2.64

Calculated values
**N(E_F)**: 0.86 states/eV per cell
**Volume**: 17.86 Å³/atom
**Theoretical density**: 7.3 Mg/m³
**Raw formation energy**: -1343 meV/atom

=====

The following is a DFT calculation (GGA-PBE) of an optimized crystal structure of LaPrSmN3.

Lattice parameters (Å, degrees): 6.3053 3.6465 9.4528 90.00 101.47 90.00
With the nearest neighbours (Å) after each atom.
Fractional coordinates of all 12 atoms:
La: 0.1538 0.2500 0.1968  7 N 2.56-2.87
La: 0.8462 0.7500 0.8032  7 N 2.56-2.87
Pr: 0.2713 0.7500 0.5454  4 N 2.46-2.55
Pr: 0.7287 0.2500 0.4546  4 N 2.46-2.55
Sm: 0.3477 0.2500 0.8615  4 N 2.34-2.46
Sm: 0.6523 0.7500 0.1385  4 N 2.34-2.46
N: 0.0292 0.2500 0.6793  1 Sm 2.37, 1 Pr 2.55, 2 La 2.56
N: 0.2525 0.7500 0.9910  2 Sm 2.34
N: 0.4720 0.7500 0.3467  1 Sm 2.46, 3 Pr 2.46-2.52
N: 0.5280 0.2500 0.6533  1 Sm 2.46, 3 Pr 2.46-2.52
N: 0.7475 0.2500 0.0090  2 Sm 2.34
N: 0.9708 0.7500 0.3207  1 Sm 2.37, 1 Pr 2.55, 2 La 2.56

Calculated values
**Volume**: 17.75 Å³/atom
**Theoretical density**: 7.4 Mg/m³
**Raw formation energy**: -1235 meV/atom

=====

The following is a DFT calculation (GGA-PBE) of an optimized crystal structure of La2PrSnN.

Lattice parameters (Å, degrees): 5.0828 5.0828 5.1146 90.00 90.00 90.00
With the nearest neighbours (Å) after each atom.
Fractional coordinates of all 5 atoms:
La: 0.0000 0.5000 0.0000  2 N 2.54
La: 0.5000 0.0000 0.0000  2 N 2.54
Pr: 0.0000 0.0000 0.5000  2 N 2.56
Sn: 0.5000 0.5000 0.5000  4 Pr 3.59, 8 La 3.61
N: 0.0000 0.0000 0.0000  4 La 2.54, 2 Pr 2.56

Calculated values
**N(E_F)**: 2.49 states/eV per cell
**Volume**: 26.43 Å³/atom
**Theoretical density**: 6.9 Mg/m³
**Raw formation energy**: -988 meV/atom

=====

The following is a DFT calculation (GGA-PBE) of an optimized crystal structure of La2Pr4Sn3N2.

Lattice parameters (Å, degrees): 13.5526 13.5526 13.5526 158.87 158.87 30.05
With the nearest neighbours (Å) after each atom.
Fractional coordinates of all 11 atoms:
La: 0.1928 0.1928 0.0000  1 N 2.31
La: 0.8072 0.8072 0.0000  1 N 2.31
Pr: 0.0838 0.5838 0.5000  2 N 2.54
Pr: 0.4162 0.9162 0.5000  2 N 2.54
Pr: 0.5838 0.0838 0.5000  2 N 2.54
Pr: 0.9162 0.4162 0.5000  2 N 2.54
Sn: 0.3256 0.3256 0.0000  4 Pr 3.43, 5 La 3.48-3.55
Sn: 0.5000 0.5000 0.0000  8 Pr 3.31
Sn: 0.6744 0.6744 0.0000  4 Pr 3.43, 5 La 3.48-3.55
N: 0.1047 0.1047 0.0000  1 La 2.31, 4 Pr 2.54
N: 0.8953 0.8953 0.0000  1 La 2.31, 4 Pr 2.54

Calculated values
**N(E_F)**: 2.58 states/eV per cell
**Volume**: 29.38 Å³/atom
**Theoretical density**: 6.3 Mg/m³
**Raw formation energy**: -947 meV/atom

=====

The following is a DFT calculation (GGA-PBE) of an optimized crystal structure of LaPrTaN4.

Lattice parameters (Å, degrees): 6.9557 6.9557 6.9557 145.88 145.88 49.02
With the nearest neighbours (Å) after each atom.
Fractional coordinates of all 7 atoms:
La: 0.0000 0.0000 0.0000  1 N 2.33
Pr: 0.7115 0.7115 0.0000  5 N 2.42-2.70
Ta: 0.3563 0.3563 0.0000  6 N 2.04-2.18
N: 0.1841 0.1841 0.0000  1 Ta 2.18, 1 La 2.33
N: 0.3507 0.8507 0.5000  2 Ta 2.04
N: 0.5202 0.5202 0.0000  1 Ta 2.08
N: 0.8507 0.3507 0.5000  2 Ta 2.04

Calculated values
**N(E_F)**: 5.87 states/eV per cell
**Volume**: 15.06 Å³/atom
**Theoretical density**: 8.1 Mg/m³
**Raw formation energy**: -1152 meV/atom

=====

The following is a DFT calculation (GGA-PBE) of an optimized crystal structure of LaPrTaN3.

Lattice parameters (Å, degrees): 7.8452 3.6330 7.9536 90.00 95.38 90.00
With the nearest neighbours (Å) after each atom.
Fractional coordinates of all 12 atoms:
La: 0.1586 0.2500 0.1683  3 N 2.47-2.50
La: 0.8414 0.7500 0.8317  3 N 2.47-2.50
Pr: 0.1760 0.2500 0.6085  3 N 2.36-2.58
Pr: 0.8240 0.7500 0.3915  3 N 2.36-2.58
Ta: 0.4030 0.7500 0.8933  3 N 1.93-2.05
Ta: 0.5970 0.2500 0.1067  3 N 1.93-2.05
N: 0.1238 0.7500 0.3789  3 Pr 2.36-2.58, 2 La 2.50
N: 0.1564 0.7500 0.8911  1 Ta 1.93
N: 0.4946 0.7500 0.1604  3 Ta 2.05-2.18
N: 0.5054 0.2500 0.8396  3 Ta 2.05-2.18
N: 0.8436 0.2500 0.1089  1 Ta 1.93
N: 0.8762 0.2500 0.6211  3 Pr 2.36-2.58, 2 La 2.50

Calculated values
**N(E_F)**: 4.08 states/eV per cell
**Volume**: 18.81 Å³/atom
**Theoretical density**: 7.4 Mg/m³
**Raw formation energy**: -1041 meV/atom

=====

The following is a DFT calculation (GGA-PBE) of an optimized crystal structure of LaPr2TaN4.

Lattice parameters (Å, degrees): 6.4670 6.4670 12.6961 90.00 90.00 148.42
With the nearest neighbours (Å) after each atom.
Fractional coordinates of all 16 atoms:
La: 0.0970 0.9030 0.7500  6 N 2.76-2.86
La: 0.9030 0.0970 0.2500  6 N 2.76-2.86
Pr: 0.3691 0.6309 0.5342  3 N 2.44-2.48
Pr: 0.3691 0.6309 0.9658  3 N 2.44-2.48
Pr: 0.6309 0.3691 0.0342  3 N 2.44-2.48
Pr: 0.6309 0.3691 0.4658  3 N 2.44-2.48
Ta: 0.1665 0.8335 0.2500  4 N 1.93-2.10
Ta: 0.8335 0.1665 0.7500  4 N 1.93-2.10
N: 0.0000 0.0000 0.0000  4 Pr 2.44
N: 0.0000 0.0000 0.5000  4 Pr 2.44
N: 0.2663 0.7337 0.1333  1 Ta 1.93
N: 0.2663 0.7337 0.3667  1 Ta 1.93
N: 0.4260 0.5740 0.7500  2 Ta 2.10
N: 0.5740 0.4260 0.2500  2 Ta 2.10
N: 0.7337 0.2663 0.6333  1 Ta 1.93
N: 0.7337 0.2663 0.8667  1 Ta 1.93

Calculated values
**N(E_F)**: 5.71 states/eV per cell
**Volume**: 17.38 Å³/atom
**Theoretical density**: 7.9 Mg/m³
**Raw formation energy**: -1139 meV/atom